## Tb8Nd2Al (GGA-PBE)

Data for an optimized crystal structure of Tb8Nd2Al.

The calculation puts the formation energy at 0.024 eV/atom. The value obtained for the theoretical density is 7.44 Mg/m³. The density of states at the Fermi level is 30.33 states/eV/cell. The polymorph energy (0 for the lowest one) is 52.5 meV/atom.

The space group is Immm (No. 71) and the conventional cell measures 5.452, 7.527 and 17.250 Å, with angles of 90.00, 90.00 and 90.00 degrees. The asymmetric unit holds Tb at (0.000, 0.000, 0.180), Tb at (0.000, 0.236, 0.368), Tb at (0.000, 0.244, 0.000), Nd at (0.000, 0.500, 0.193) and Al at (0.000, 0.500, 0.500).

---

## Tb4NdAl2 (GGA-PBE)

Data for an optimized crystal structure of Tb4NdAl2.

The calculation puts the formation energy at 0.252 eV/atom. The value obtained for the theoretical density is 6.72 Mg/m³. The density of states at the Fermi level is 19.39 states/eV/cell. The polymorph energy (0 for the lowest one) is 450.3 meV/atom.

The space group is I4/mmm (No. 139) and the conventional cell measures 5.692, 5.692 and 12.726 Å, with angles of 90.00, 90.00 and 90.00 degrees. The asymmetric unit holds Tb at (0.000, 0.500, 0.000), Tb at (0.000, 0.500, 0.250), Nd at (0.000, 0.000, 0.000) and Al at (0.000, 0.000, 0.386).

---

## TbNd5Al6 (GGA-PBE)

Data for an optimized crystal structure of TbNd5Al6.

The calculation puts the formation energy at -0.359 eV/atom. The value obtained for the theoretical density is 5.65 Mg/m³. The density of states at the Fermi level is 7.87 states/eV/cell.

The space group is C2/m (No. 12) and the conventional cell measures 16.580, 7.416 and 5.247 Å, with angles of 90.00, 108.39 and 90.00 degrees. The asymmetric unit holds Tb at (0.000, 0.000, 0.000), Nd at (0.000, 0.500, 0.000), Nd at (0.164, 0.500, 0.664), Nd at (0.171, 0.000, 0.671), Al at (0.000, 0.237, 0.500) and Al at (0.164, 0.243, 0.164).

---

> Which formula does entry 3 have?

TbNd5Al6

---

> Which value of density of states at the Fermi level does entry 3 give?

7.87 states/eV/cell

---

> What is the formula in the third record?

TbNd5Al6

---

Repeat the first record exactly.
## Tb8Nd2Al (GGA-PBE)

Data for an optimized crystal structure of Tb8Nd2Al.

The calculation puts the formation energy at 0.024 eV/atom. The value obtained for the theoretical density is 7.44 Mg/m³. The density of states at the Fermi level is 30.33 states/eV/cell. The polymorph energy (0 for the lowest one) is 52.5 meV/atom.

The space group is Immm (No. 71) and the conventional cell measures 5.452, 7.527 and 17.250 Å, with angles of 90.00, 90.00 and 90.00 degrees. The asymmetric unit holds Tb at (0.000, 0.000, 0.180), Tb at (0.000, 0.236, 0.368), Tb at (0.000, 0.244, 0.000), Nd at (0.000, 0.500, 0.193) and Al at (0.000, 0.500, 0.500).